VASP calculation (PBE) on an optimized crystal structure of Sm3TlAg.

abc: 8.4227 8.4227 11.1314
angles: 87.29 87.29 48.41
Sites, in units of the cell vectors:
Sm: 0.8540 0.9079 0.8289
Sm: 0.0921 0.1460 0.6711
Sm: 0.1460 0.0921 0.1711
Sm: 0.9079 0.8540 0.3289
Sm: 0.6529 0.7227 0.6778
Sm: 0.2773 0.3471 0.8222
Sm: 0.3471 0.2773 0.3222
Sm: 0.7227 0.6529 0.1778
Sm: 0.3362 0.7685 0.9264
Sm: 0.2315 0.6638 0.5736
Sm: 0.7685 0.3362 0.4264
Sm: 0.6638 0.2315 0.0736
Tl: 0.8858 0.3817 0.9248
Tl: 0.6183 0.1142 0.5752
Tl: 0.1142 0.6183 0.0752
Tl: 0.3817 0.8858 0.4248
Ag: 0.0000 0.5000 0.5000
Ag: 0.5000 0.0000 0.0000
Ag: 0.3861 0.6139 0.2500
Ag: 0.6139 0.3861 0.7500

Results
**Energy above the lowest structure with this stoichiometry**: 90 meV per atom
**Energy of formation from the pure elements**: -0.1425 eV/atom
**Total magnetic moment**: 0.000 μB/cell
**DFT total energy**: -4.0175 eV/atom


VASP calculation (PBE) on an optimized crystal structure of ZrTl2Mo.

abc: 3.1958 3.1958 8.2436
angles: 90.00 90.00 90.00
Each line ends with the local moment (μB).
Sites, in units of the cell vectors:
Mo: 0.5000 0.5000 0.7500  1.01
Tl: 0.0000 0.0000 0.9839  0.00
Tl: 0.0000 0.0000 0.5161  0.00
Zr: 0.5000 0.5000 0.2500  -0.03

Results
**Energy above the lowest structure with this stoichiometry**: 139 meV per atom
**Energy of formation from the pure elements**: 0.4638 eV/atom
**Total magnetic moment**: 1.106 μB/cell
**DFT total energy**: -5.5641 eV/atom


VASP calculation (PBE) on an optimized crystal structure of TbGa2Pt.

abc: 5.5575 6.7824 8.1522
angles: 90.00 90.00 90.00
Sites, in units of the cell vectors:
Tb: 0.3731 0.2500 0.0428
Tb: 0.8731 0.7500 0.4572
Tb: 0.6269 0.7500 0.9572
Tb: 0.1269 0.2500 0.5428
Ga: 0.8793 0.0527 0.1848
Ga: 0.3793 0.9473 0.3152
Ga: 0.1207 0.5527 0.8152
Ga: 0.6207 0.4473 0.6848
Ga: 0.1207 0.9473 0.8152
Ga: 0.6207 0.0527 0.6848
Ga: 0.8793 0.4473 0.1848
Ga: 0.3793 0.5527 0.3152
Pt: 0.6345 0.2500 0.4078
Pt: 0.1345 0.7500 0.0922
Pt: 0.3655 0.7500 0.5922
Pt: 0.8655 0.2500 0.9078

Results
**Energy of formation from the pure elements**: -0.8435 eV/atom
**Total magnetic moment**: 0.000 μB/cell
**DFT total energy**: -5.0247 eV/atom


VASP calculation (PBE) on an optimized crystal structure of LiGa2SeS6.

abc: 6.6443 8.1185 8.1185
angles: 86.85 80.15 80.15
Each line ends with the local moment (μB).
Sites, in units of the cell vectors:
Li: 0.2500 0.9052 0.0948  0.00
Li: 0.7500 0.0948 0.9052  0.00
Ga: 0.2740 0.7813 0.5888  0.00
Ga: 0.2260 0.4112 0.2187  0.00
Ga: 0.7260 0.2187 0.4112  0.00
Ga: 0.7740 0.5888 0.7813  0.00
Se: 0.2500 0.2280 0.7720  0.00
Se: 0.7500 0.7720 0.2280  0.00
S: 0.1324 0.9792 0.7993  0.03
S: 0.3676 0.2007 0.0208  0.03
S: 0.8676 0.0208 0.2007  0.03
S: 0.6324 0.7993 0.9792  0.03
S: 0.3912 0.9189 0.3535  0.08
S: 0.1088 0.6465 0.0811  0.08
S: 0.6088 0.0811 0.6465  0.08
S: 0.8912 0.3535 0.9189  0.08
S: 0.9660 0.6952 0.5518  0.18
S: 0.5340 0.4482 0.3048  0.18
S: 0.0340 0.3048 0.4482  0.18
S: 0.4660 0.5518 0.6952  0.18

Results
**Total magnetic moment**: 1.765 μB/cell
**DFT total energy**: -3.9384 eV/atom
**Formation energy without anion corrections**: -0.317 eV/atom


VASP calculation (PBE) on an optimized crystal structure of Na2PPt3.

abc: 4.9587 4.9587 4.9587
angles: 67.96 67.96 67.96
Sites, in units of the cell vectors:
Na: 0.3804 0.3804 0.3804
Na: 0.6196 0.6196 0.6196
P: 0.0000 0.0000 0.0000
Pt: 0.0000 0.0000 0.5000
Pt: 0.5000 0.0000 0.0000
Pt: 0.0000 0.5000 0.0000

Results
**Energy of formation from the pure elements**: -0.4938 eV/atom
**Total magnetic moment**: 0.000 μB/cell
**DFT total energy**: -4.8555 eV/atom


VASP calculation (PBE) on an optimized crystal structure of LaIr.

abc: 5.1422 5.1422 7.8993
angles: 90.00 90.00 120.00
Sites, in units of the cell vectors:
La: 0.0000 0.0000 0.7500
La: 0.0000 0.0000 0.2500
La: 0.3333 0.6667 0.2500
La: 0.6667 0.3333 0.7500
Ir: 0.3333 0.6667 0.9157
Ir: 0.6667 0.3333 0.4157
Ir: 0.6667 0.3333 0.0843
Ir: 0.3333 0.6667 0.5843

Results
**Energy of formation from the pure elements**: -0.0799 eV/atom
**Total magnetic moment**: 0.000 μB/cell
**DFT total energy**: -6.9742 eV/atom


VASP calculation (PBE) on an optimized crystal structure of IrPd3Se8.

abc: 7.5097 7.5087 7.1631
angles: 122.23 90.00 120.00
Sites, in units of the cell vectors:
Ir: 0.0000 0.0000 0.0000
Pd: 0.5000 0.0000 0.0000
Pd: 0.5000 0.5000 0.0000
Pd: 0.0000 0.5000 0.0000
Se: 0.2553 0.5105 0.7703
Se: 0.7447 0.4895 0.2297
Se: 0.2501 0.0077 0.7694
Se: 0.7576 0.0077 0.7694
Se: 0.7575 0.5151 0.7696
Se: 0.2425 0.4849 0.2304
Se: 0.2424 0.9923 0.2306
Se: 0.7499 0.9923 0.2306

Results
**Total magnetic moment**: 0.000 μB/cell
**DFT total energy**: -4.6118 eV/atom
**Formation energy without anion corrections**: -0.252 eV/atom


VASP calculation (PBE) on an optimized crystal structure of Si2Ag.

abc: 3.8090 3.8090 8.6721
angles: 90.00 90.00 120.00
Sites, in units of the cell vectors:
Si: 0.6667 0.3333 0.4466
Si: 0.3333 0.6667 0.9466
Si: 0.3333 0.6667 0.5534
Si: 0.6667 0.3333 0.0534
Ag: 0.0000 0.0000 0.2500
Ag: 0.0000 0.0000 0.7500

Results
**Energy above the lowest structure with this stoichiometry**: 47 meV per atom
**Total magnetic moment**: 0.000 μB/cell
**DFT total energy**: -4.2041 eV/atom
**Formation energy without anion corrections**: 0.362 eV/atom


VASP calculation (PBE) on an optimized crystal structure of RbMgCl.

abc: 3.9829 5.1698 9.6031
angles: 90.00 102.32 90.00
Sites, in units of the cell vectors:
Rb: 0.4188 0.2500 0.3352
Rb: 0.5812 0.7500 0.6648
Mg: 0.2270 0.2500 0.9520
Mg: 0.7730 0.7500 0.0480
Cl: 0.0806 0.2500 0.6640
Cl: 0.9194 0.7500 0.3360

Results
**Energy above the lowest structure with this stoichiometry**: 16 meV per atom
**Total magnetic moment**: 0.000 μB/cell
**DFT total energy**: -2.4950 eV/atom
**Formation energy without anion corrections**: -1.025 eV/atom


VASP calculation (PBE) on an optimized crystal structure of LaPr2Ni.

abc: 3.5904 3.5904 9.1707
angles: 90.00 90.00 90.00
Sites, in units of the cell vectors:
Pr: 0.0000 0.0000 0.8191
Pr: 0.0000 0.0000 0.1809
Ni: 0.5000 0.5000 0.0000
La: 0.5000 0.5000 0.5000

Results
**Energy above the lowest structure with this stoichiometry**: 103 meV per atom
**Energy of formation from the pure elements**: -0.0669 eV/atom
**Total magnetic moment**: 0.000 μB/cell
**DFT total energy**: -5.1339 eV/atom


VASP calculation (PBE) on an optimized crystal structure of TaInP.

abc: 5.6044 5.6044 5.6044
angles: 145.74 145.74 49.23
Sites, in units of the cell vectors:
In: 0.0001 0.0001 0.0000
P: 0.2982 0.2982 0.0000
Ta: 0.7018 0.7018 0.0000

Results
**Energy above the lowest structure with this stoichiometry**: 0 meV per atom
**Energy of formation from the pure elements**: -0.2540 eV/atom
**Total magnetic moment**: 0.000 μB/cell
**DFT total energy**: -6.9210 eV/atom


VASP calculation (PBE) on an optimized crystal structure of K2US3.

abc: 7.2766 7.2766 7.7525
angles: 99.17 99.17 119.98
Each line ends with the local moment (μB).
Sites, in units of the cell vectors:
K: 0.8334 0.1666 0.5000  0.00
K: 0.3333 0.6667 0.0000  0.00
K: 0.1769 0.8231 0.5000  0.00
K: 0.4898 0.5102 0.5000  0.00
U: 0.0008 0.9992 0.0000  2.08
U: 0.6659 0.3341 0.0000  2.08
S: 0.6383 0.9717 0.7963  -0.05
S: 0.0283 0.3617 0.2037  -0.05
S: 0.8883 0.5969 0.7952  -0.05
S: 0.2636 0.2216 0.7952  -0.05
S: 0.4031 0.1117 0.2048  -0.05
S: 0.7784 0.7364 0.2048  -0.05

Results
**Total magnetic moment**: 4.000 μB/cell
**DFT total energy**: -5.7285 eV/atom
**Formation energy without anion corrections**: -1.418 eV/atom